[1]
# MgCoAsBr2 (PBE-GGA, optimized geometry)
data_MgCoAsBr2
_space_group_name_H-M_alt 'P 4/m m m'
_space_group_IT_number 123
_space_group_name_Hall '-P 4 2'
_cell_length_a 5.072
_cell_length_b 5.072
_cell_length_c 4.510
_cell_angle_alpha 90.00
_cell_angle_beta 90.00
_cell_angle_gamma 90.00
loop_
_atom_site_label
_atom_site_fract_x
_atom_site_fract_y
_atom_site_fract_z
Mg1 0.000 0.000 0.000
Co1 0.500 0.500 0.500
As1 0.500 0.500 0.000
Br1 0.000 0.500 0.500
# Energy above the most stable polymorph in this dataset (meV/atom): 0
# DFT total energy (eV per atom): -3.2849
# ρ (Mg/m³): 4.55
# Crystal system: tetragonal



[2]
# MgCoAsBr2 (PBE-GGA, optimized geometry)
data_MgCoAsBr2
_space_group_name_H-M_alt 'P 4/m m m'
_space_group_IT_number 123
_space_group_name_Hall '-P 4 2'
_cell_length_a 5.036
_cell_length_b 5.036
_cell_length_c 5.572
_cell_angle_alpha 90.00
_cell_angle_beta 90.00
_cell_angle_gamma 90.00
loop_
_atom_site_label
_atom_site_fract_x
_atom_site_fract_y
_atom_site_fract_z
Mg1 0.000 0.000 0.000
Co1 0.500 0.500 0.500
As1 0.000 0.000 0.500
Br1 0.000 0.500 0.000
# Energy above the most stable polymorph in this dataset (meV/atom): 433
# DFT total energy (eV per atom): -2.8518
# ρ (Mg/m³): 3.74
# Crystal system: tetragonal



[3]
# MnCoAsBr2 (PBE-GGA, optimized geometry)
data_MnCoAsBr2
_space_group_name_H-M_alt 'P 4/m m m'
_space_group_IT_number 123
_space_group_name_Hall '-P 4 2'
_cell_length_a 5.138
_cell_length_b 5.138
_cell_length_c 4.795
_cell_angle_alpha 90.00
_cell_angle_beta 90.00
_cell_angle_gamma 90.00
loop_
_atom_site_label
_atom_site_fract_x
_atom_site_fract_y
_atom_site_fract_z
Mn1 0.000 0.000 0.000
Co1 0.500 0.500 0.500
As1 0.000 0.000 0.500
Br1 0.000 0.500 0.000
# Energy above the most stable polymorph in this dataset (meV/atom): 0
# DFT total energy (eV per atom): -4.1623
# ρ (Mg/m³): 4.57
# Crystal system: tetragonal



[4]
# MnCoAsBr2 (PBE-GGA, optimized geometry)
data_MnCoAsBr2
_space_group_name_H-M_alt 'P 4/m m m'
_space_group_IT_number 123
_space_group_name_Hall '-P 4 2'
_cell_length_a 4.972
_cell_length_b 4.972
_cell_length_c 4.451
_cell_angle_alpha 90.00
_cell_angle_beta 90.00
_cell_angle_gamma 90.00
loop_
_atom_site_label
_atom_site_fract_x
_atom_site_fract_y
_atom_site_fract_z
Mn1 0.000 0.000 0.000
Co1 0.500 0.500 0.500
As1 0.500 0.500 0.000
Br1 0.000 0.500 0.500
# Energy above the most stable polymorph in this dataset (meV/atom): 285
# DFT total energy (eV per atom): -3.8772
# ρ (Mg/m³): 5.26
# Crystal system: tetragonal



[5]
# NaCoAs2Br (PBE-GGA, optimized geometry)
data_NaCoAs2Br
_space_group_name_H-M_alt 'P 4/m m m'
_space_group_IT_number 123
_space_group_name_Hall '-P 4 2'
_cell_length_a 4.324
_cell_length_b 4.324
_cell_length_c 9.206
_cell_angle_alpha 90.00
_cell_angle_beta 90.00
_cell_angle_gamma 90.00
loop_
_atom_site_label
_atom_site_fract_x
_atom_site_fract_y
_atom_site_fract_z
Na1 0.000 0.000 0.000
Co1 0.500 0.500 0.500
As1 0.000 0.500 0.500
Br1 0.500 0.500 0.000
# Energy above the most stable polymorph in this dataset (meV/atom): 0
# DFT total energy (eV per atom): -4.0735
# ρ (Mg/m³): 3.01
# Crystal system: tetragonal



[6]
# NaCoAs2Br (PBE-GGA, optimized geometry)
data_NaCoAs2Br
_space_group_name_H-M_alt 'P 4/m m m'
_space_group_IT_number 123
_space_group_name_Hall '-P 4 2'
_cell_length_a 5.060
_cell_length_b 5.060
_cell_length_c 5.247
_cell_angle_alpha 90.00
_cell_angle_beta 90.00
_cell_angle_gamma 90.00
loop_
_atom_site_label
_atom_site_fract_x
_atom_site_fract_y
_atom_site_fract_z
Na1 0.000 0.000 0.000
Co1 0.500 0.500 0.500
As1 0.000 0.500 0.000
Br1 0.000 0.000 0.500
# Energy above the most stable polymorph in this dataset (meV/atom): 1445
# DFT total energy (eV per atom): -2.6287
# ρ (Mg/m³): 3.85
# Crystal system: tetragonal



[7]
# NaCoAsBr2 (PBE-GGA, optimized geometry)
data_NaCoAsBr2
_space_group_name_H-M_alt 'P 4/m m m'
_space_group_IT_number 123
_space_group_name_Hall '-P 4 2'
_cell_length_a 5.342
_cell_length_b 5.342
_cell_length_c 5.544
_cell_angle_alpha 90.00
_cell_angle_beta 90.00
_cell_angle_gamma 90.00
loop_
_atom_site_label
_atom_site_fract_x
_atom_site_fract_y
_atom_site_fract_z
Na1 0.000 0.000 0.000
Co1 0.500 0.500 0.500
As1 0.000 0.000 0.500
Br1 0.000 0.500 0.000
# Energy above the most stable polymorph in this dataset (meV/atom): 1078
# DFT total energy (eV per atom): -2.4881
# ρ (Mg/m³): 3.32
# Crystal system: tetragonal



[8]
# NaCoAsBr2 (PBE-GGA, optimized geometry)
data_NaCoAsBr2
_space_group_name_H-M_alt 'P 4/m m m'
_space_group_IT_number 123
_space_group_name_Hall '-P 4 2'
_cell_length_a 5.314
_cell_length_b 5.314
_cell_length_c 4.360
_cell_angle_alpha 90.00
_cell_angle_beta 90.00
_cell_angle_gamma 90.00
loop_
_atom_site_label
_atom_site_fract_x
_atom_site_fract_y
_atom_site_fract_z
Na1 0.000 0.000 0.000
Co1 0.500 0.500 0.500
As1 0.500 0.500 0.000
Br1 0.000 0.500 0.500
# Energy above the most stable polymorph in this dataset (meV/atom): 0
# DFT total energy (eV per atom): -3.5660
# ρ (Mg/m³): 4.27
# Crystal system: tetragonal



[9]
# NbCoAs2Br (PBE-GGA, optimized geometry)
data_NbCoAs2Br
_space_group_name_H-M_alt 'P 4/m m m'
_space_group_IT_number 123
_space_group_name_Hall '-P 4 2'
_cell_length_a 5.003
_cell_length_b 5.003
_cell_length_c 5.218
_cell_angle_alpha 90.00
_cell_angle_beta 90.00
_cell_angle_gamma 90.00
loop_
_atom_site_label
_atom_site_fract_x
_atom_site_fract_y
_atom_site_fract_z
Nb1 0.000 0.000 0.000
Co1 0.500 0.500 0.500
As1 0.000 0.500 0.000
Br1 0.000 0.000 0.500
# Energy above the most stable polymorph in this dataset (meV/atom): 52
# DFT total energy (eV per atom): -4.8756
# ρ (Mg/m³): 4.85
# Crystal system: tetragonal



[10]
# NbCoAs2Br (PBE-GGA, optimized geometry)
data_NbCoAs2Br
_space_group_name_H-M_alt 'P 4/m m m'
_space_group_IT_number 123
_space_group_name_Hall '-P 4 2'
_cell_length_a 4.509
_cell_length_b 4.509
_cell_length_c 4.786
_cell_angle_alpha 90.00
_cell_angle_beta 90.00
_cell_angle_gamma 90.00
loop_
_atom_site_label
_atom_site_fract_x
_atom_site_fract_y
_atom_site_fract_z
Nb1 0.000 0.000 0.000
Co1 0.500 0.500 0.500
As1 0.000 0.500 0.500
Br1 0.500 0.500 0.000
# Energy above the most stable polymorph in this dataset (meV/atom): 0
# DFT total energy (eV per atom): -4.9281
# ρ (Mg/m³): 6.51
# Crystal system: tetragonal



[11]
# Nd6Co2AsBr3 (PBE-GGA, optimized geometry)
data_Nd6Co2AsBr3
_space_group_name_H-M_alt 'C 1 2/m 1'
_space_group_IT_number 12
_space_group_name_Hall '-C 2y'
_cell_length_a 19.114
_cell_length_b 4.100
_cell_length_c 9.111
_cell_angle_alpha 90.00
_cell_angle_beta 109.09
_cell_angle_gamma 90.00
loop_
_atom_site_label
_atom_site_fract_x
_atom_site_fract_y
_atom_site_fract_z
Nd1 0.024 0.000 0.243
Nd2 0.165 0.500 0.132
Nd3 0.181 0.500 0.557
Co1 0.170 0.000 0.339
As1 0.000 0.500 0.000
Br1 0.000 0.500 0.500
Br2 0.160 0.000 0.839
# DFT total energy (eV per atom): -5.3170
# ρ (Mg/m³): 6.39
# Crystal system: monoclinic



[12]
# CoNiAs2Br (PBE-GGA, optimized geometry)
data_CoNiAs2Br
_space_group_name_H-M_alt 'P 4/m m m'
_space_group_IT_number 123
_space_group_name_Hall '-P 4 2'
_cell_length_a 4.436
_cell_length_b 4.436
_cell_length_c 5.149
_cell_angle_alpha 90.00
_cell_angle_beta 90.00
_cell_angle_gamma 90.00
loop_
_atom_site_label
_atom_site_fract_x
_atom_site_fract_y
_atom_site_fract_z
Co1 0.000 0.000 0.000
Ni1 0.500 0.500 0.500
As1 0.000 0.500 0.000
Br1 0.000 0.000 0.500
# Energy above the most stable polymorph in this dataset (meV/atom): 0
# DFT total energy (eV per atom): -4.0806
# ρ (Mg/m³): 5.69
# Crystal system: tetragonal



[13]
# CoNiAsBr2 (PBE-GGA, optimized geometry)
data_CoNiAsBr2
_space_group_name_H-M_alt 'P 4/m m m'
_space_group_IT_number 123
_space_group_name_Hall '-P 4 2'
_cell_length_a 4.985
_cell_length_b 4.985
_cell_length_c 4.546
_cell_angle_alpha 90.00
_cell_angle_beta 90.00
_cell_angle_gamma 90.00
loop_
_atom_site_label
_atom_site_fract_x
_atom_site_fract_y
_atom_site_fract_z
Co1 0.000 0.000 0.000
Ni1 0.500 0.500 0.500
As1 0.500 0.500 0.000
Br1 0.000 0.500 0.500
# Energy above the most stable polymorph in this dataset (meV/atom): 60
# DFT total energy (eV per atom): -3.4248
# ρ (Mg/m³): 5.18
# Crystal system: tetragonal



[14]
# CoNiAs2Br (PBE-GGA, optimized geometry)
data_CoNiAs2Br
_space_group_name_H-M_alt 'P 4/m m m'
_space_group_IT_number 123
_space_group_name_Hall '-P 4 2'
_cell_length_a 4.485
_cell_length_b 4.485
_cell_length_c 5.277
_cell_angle_alpha 90.00
_cell_angle_beta 90.00
_cell_angle_gamma 90.00
loop_
_atom_site_label
_atom_site_fract_x
_atom_site_fract_y
_atom_site_fract_z
Co1 0.000 0.000 0.000
Ni1 0.500 0.500 0.500
As1 0.000 0.500 0.500
Br1 0.500 0.500 0.000
# Energy above the most stable polymorph in this dataset (meV/atom): 106
# DFT total energy (eV per atom): -3.9743
# ρ (Mg/m³): 5.44
# Crystal system: tetragonal



[15]
# CoNiAsBr2 (PBE-GGA, optimized geometry)
data_CoNiAsBr2
_space_group_name_H-M_alt 'P 4/m m m'
_space_group_IT_number 123
_space_group_name_Hall '-P 4 2'
_cell_length_a 5.013
_cell_length_b 5.013
_cell_length_c 4.378
_cell_angle_alpha 90.00
_cell_angle_beta 90.00
_cell_angle_gamma 90.00
loop_
_atom_site_label
_atom_site_fract_x
_atom_site_fract_y
_atom_site_fract_z
Co1 0.000 0.000 0.000
Ni1 0.500 0.500 0.500
As1 0.000 0.000 0.500
Br1 0.000 0.500 0.000
# Energy above the most stable polymorph in this dataset (meV/atom): 0
# DFT total energy (eV per atom): -3.4850
# ρ (Mg/m³): 5.32
# Crystal system: tetragonal



no.,D(E_F) (states/eV per atom)
1,0.65
2,1.35
3,1.49
4,0.97
5,0.47
6,1.05
7,1.68
8,0.38
9,1.20
10,1.36
11,0.65
12,1.01
13,1.42
14,0.79
15,1.97